The following is a GGA+U calculation of a relaxed Ba2LaFe2O6 crystal, from Alexandria.

a b c (Å): 6.2237 6.2237 18.3396
angles (deg): 90.00 90.00 120.00
Space group R-3m (No. 166, hexagonal axes)
Unique sites:
Ba: 0.0000 0.0000 0.2056 [6 per cell]
La: 0.0000 0.0000 0.0000 [3 per cell]
Fe: 0.0000 0.0000 0.4300 [6 per cell]
O: 0.0098 0.5049 0.7570 [18 per cell]

## Properties
For the total energy, the calculation gives -6.790 eV/atom. As for the crystal system: trigonal.